A geometry-optimized KTl2Ag2Cl6 structure. Source: Alexandria via LeMat-Bulk, functional PBE.

Cell lengths 13.569, 8.019, 7.226 Å; angles 90.00, 114.90, 90.00 degrees
Space group C2/m (No. 12)
Symmetry-distinct sites (fractional):
K  0.000  0.000  0.000 [2 per cell]
Tl  0.230  0.000  0.638 [4 per cell]
Ag  0.057  0.500  0.733 [4 per cell]
Cl  0.084  0.272  0.346 [8 per cell]
Cl  0.247  0.000  0.061 [4 per cell]

Calculated values
The total energy is -2.912 eV per atom. Its formation energy (no corrections) is -0.856 eV/atom. The density of states at the Fermi level comes out at 19.6 states/eV/cell. Its volume is 713.16 Å³ per cell. As for the total magnetization: 0.00 μB/atom.